The following is a PBEsol calculation of a geometry-optimized Y3CdS structure, from Alexandria via LeMat-Bulk. Values from VASP.

Output
- formation energy without anion corrections (eV/atom) = 0.296
- calculated volume (A^3/atom) = 33.100
- Fermi-level density of states (states/eV per cell) = 3.823
- ρ (kg/m3) = 4126

Geometry as Quantum ESPRESSO input:
```
&SYSTEM
  ibrav = 0, nat = 5, ntyp = 3
/
ATOMIC_SPECIES
Y 88.91 Y.upf
S 32.06 S.upf
Cd 112.41 Cd.upf
CELL_PARAMETERS angstrom
-4.4756 -2.9002 1.3046
2.2833 -4.4984 -2.1668
2.2135 -1.2238 4.8731
ATOMIC_POSITIONS angstrom
Y 1.1417 -2.2492 -1.0834
Y 1.1067 -0.6119 2.4365
Y -2.2378 -1.4501 0.6523
S 0.0106 -4.3112 2.0055
Cd 0.0000 0.0000 0.0000
```



The following is a PBEsol calculation of a geometry-optimized ZnCdS2 structure, from Alexandria via LeMat-Bulk. Values from VASP.

Output
- formation energy without anion corrections (eV/atom) = -0.681
- calculated volume (A^3/atom) = 21.872
- ρ (kg/m3) = 4592

Geometry as Quantum ESPRESSO input:
```
&SYSTEM
  ibrav = 0, nat = 4, ntyp = 3
/
ATOMIC_SPECIES
Zn 65.41 Zn.upf
S 32.06 S.upf
Cd 112.41 Cd.upf
CELL_PARAMETERS angstrom
3.9338 0.0000 0.0000
-1.9669 3.4068 0.0000
0.0000 0.0000 6.5281
ATOMIC_POSITIONS angstrom
Zn 0.0000 0.0000 0.0056
S 1.9669 1.1356 0.7047
S 0.0000 0.0000 4.2207
Cd 1.9669 1.1356 3.2160
```



The following is a PBEsol calculation of a geometry-optimized Zn3CdS4 structure, from Alexandria via LeMat-Bulk. Values from VASP.

Output
- formation energy without anion corrections (eV/atom) = -0.747
- calculated volume (A^3/atom) = 20.498
- Fermi-level density of states (states/eV per cell) = 0.000
- ρ (kg/m3) = 4424

Geometry as Quantum ESPRESSO input:
```
&SYSTEM
  ibrav = 0, nat = 8, ntyp = 3
/
ATOMIC_SPECIES
Zn 65.41 Zn.upf
S 32.06 S.upf
Cd 112.41 Cd.upf
CELL_PARAMETERS angstrom
-1.2215 0.9396 -5.2521
4.4968 -2.7186 -1.5322
-2.8717 -4.6568 -0.1652
ATOMIC_POSITIONS angstrom
Zn 0.8126 -3.6877 -0.8487
Zn -2.0466 -1.8586 -2.7087
Zn 1.6377 -0.8895 -3.3921
S 0.1060 -1.6899 -1.8247
S 1.6613 -2.5346 -5.0463
S 0.8777 -5.1921 -2.6308
S -1.8377 -3.4550 -4.3972
Cd 0.0000 0.0000 0.0000
```



The following is a PBEsol calculation of a geometry-optimized ZnCd3S4 structure, from Alexandria via LeMat-Bulk. Values from VASP.

Output
- formation energy without anion corrections (eV/atom) = -0.655
- calculated volume (A^3/atom) = 23.217
- ρ (kg/m3) = 4746

Geometry as Quantum ESPRESSO input:
```
&SYSTEM
  ibrav = 0, nat = 8, ntyp = 3
/
ATOMIC_SPECIES
Zn 65.41 Zn.upf
S 32.06 S.upf
Cd 112.41 Cd.upf
CELL_PARAMETERS angstrom
-5.5362 0.6920 1.1939
-0.5753 -5.6443 0.6035
1.2542 0.4652 5.5465
ATOMIC_POSITIONS angstrom
Zn 0.0000 0.0000 0.0000
S -4.3686 -3.6704 2.6845
S -3.4049 -0.4522 5.2883
S -0.7917 -3.7899 4.9773
S -1.1493 -1.0617 1.7377
Cd 0.3395 -2.5895 3.0750
Cd -3.0557 -2.4762 0.8987
Cd -2.1410 0.5786 3.3702
```



The following is a PBEsol calculation of a geometry-optimized ZnCdS2 structure, from Alexandria via LeMat-Bulk. Values from VASP.

Output
- formation energy without anion corrections (eV/atom) = -0.697
- calculated volume (A^3/atom) = 21.815
- Fermi-level density of states (states/eV per cell) = 0.000
- ρ (kg/m3) = 4604

Geometry as Quantum ESPRESSO input:
```
&SYSTEM
  ibrav = 0, nat = 4, ntyp = 3
/
ATOMIC_SPECIES
Zn 65.41 Zn.upf
S 32.06 S.upf
Cd 112.41 Cd.upf
CELL_PARAMETERS angstrom
-2.1613 -0.3994 3.2550
-2.8173 -1.7691 -2.0878
2.4175 -5.0177 0.9896
ATOMIC_POSITIONS angstrom
Zn 1.2088 -2.5088 0.4948
S -0.4136 -1.5842 1.9005
S 0.3418 -4.5177 -0.3273
Cd -2.4893 -1.0842 0.5836
```



The following is a PBEsol calculation of a geometry-optimized ZrCdS2 structure, from Alexandria via LeMat-Bulk. Values from VASP.

Output
- formation energy without anion corrections (eV/atom) = -1.107
- calculated volume (A^3/atom) = 22.395
- Fermi-level density of states (states/eV per cell) = 1.017
- ρ (kg/m3) = 4964

Geometry as Quantum ESPRESSO input:
```
&SYSTEM
  ibrav = 0, nat = 4, ntyp = 3
/
ATOMIC_SPECIES
S 32.06 S.upf
Zr 91.22 Zr.upf
Cd 112.41 Cd.upf
CELL_PARAMETERS angstrom
-0.1756 -3.4767 -0.3672
1.9132 -2.0772 2.0684
-5.7482 -2.1213 6.1485
ATOMIC_POSITIONS angstrom
S -0.2700 -5.6396 3.4721
S -3.7407 -2.0356 4.3777
Zr -2.0053 -3.8376 3.9249
Cd 0.0000 0.0000 0.0000
```



Which value of formation energy without anion corrections does entry 6 give?
-1.107 eV/atom